# 1
Compound: Mn2CoSb
Source: Alexandria via LeMat-Bulk
Functional: GGA-PBE
Structure: relaxed

As for the total magnetic moment: 1.17 Bohr magnetons per cell. Its space group is P4mm. The electronic total energy is -7.216 eV/atom. The calculation puts the formation energy (no corrections) at 0.18 eV per atom.

a = 3.182 Å, b = 3.182 Å, c = 5.836 Å
α = 90.00°, β = 90.00°, γ = 90.00°
Last column: magnetic moment on the atom in μB.
Atoms (fractional coordinates):
Co (0.500, 0.500, 0.776)  1.12
Mn (0.000, 0.000, 0.999)  3.07
Mn (0.500, 0.500, 0.212)  -3.00
Sb (0.000, 0.000, 0.513)  0.01

# 2
Compound: Sr6N
Source: Alexandria via LeMat-Bulk
Functional: GGA-PBE
Structure: relaxed

As for the total magnetic moment: 0.00 Bohr magnetons per cell. Its space group is Pnma. The electronic total energy is -2.835 eV/atom. The calculation puts the formation energy (no corrections) at -0.20 eV per atom.

a = 7.207 Å, b = 12.394 Å, c = 13.650 Å
α = 90.00°, β = 90.00°, γ = 90.00°
Atoms (fractional coordinates):
Sr (0.809, 0.250, 0.498)
Sr (0.191, 0.750, 0.502)
Sr (0.309, 0.750, 0.002)
Sr (0.691, 0.250, 0.998)
Sr (0.391, 0.250, 0.735)
Sr (0.609, 0.750, 0.265)
Sr (0.891, 0.750, 0.765)
Sr (0.109, 0.250, 0.235)
Sr (0.261, 0.401, 0.510)
Sr (0.739, 0.599, 0.490)
Sr (0.761, 0.599, 0.990)
Sr (0.739, 0.901, 0.490)
Sr (0.239, 0.401, 0.010)
Sr (0.261, 0.099, 0.510)
Sr (0.239, 0.099, 0.010)
Sr (0.761, 0.901, 0.990)
Sr (0.939, 0.401, 0.730)
Sr (0.061, 0.599, 0.270)
Sr (0.439, 0.599, 0.770)
Sr (0.061, 0.901, 0.270)
Sr (0.561, 0.401, 0.230)
Sr (0.939, 0.099, 0.730)
Sr (0.561, 0.099, 0.230)
Sr (0.439, 0.901, 0.770)
N (0.103, 0.250, 0.617)
N (0.897, 0.750, 0.383)
N (0.603, 0.750, 0.883)
N (0.397, 0.250, 0.117)

# 3
Compound: TaMnPt
Source: Alexandria via LeMat-Bulk
Functional: GGA-PBE
Structure: relaxed

As for the total magnetic moment: 3.16 Bohr magnetons per cell. Its space group is I4mm. The value obtained for the formation energy is -0.286 eV/atom. The electronic total energy is -9.307 eV/atom. As for the energy above the most stable polymorph in this dataset: 67.2 meV/atom.

a = 6.139 Å, b = 6.139 Å, c = 6.139 Å
α = 153.17°, β = 153.17°, γ = 38.31°
Last column: magnetic moment on the atom in μB.
Atoms (fractional coordinates):
Mn (0.998, 0.998, 0.000)  3.16
Pt (0.338, 0.338, 0.000)  0.09
Ta (0.665, 0.665, 0.000)  -0.13